DFT (PBE) results for crystalline Ag2GeI at its relaxed geometry.

Unit cell a=7.002 b=7.002 c=9.358 alpha=90.00 beta=90.00 gamma=90.00
Space group I-42d (No. 122)
Inequivalent atoms, fractional coordinates:
Ag: 0.211 0.250 0.125 x8
Ge: 0.000 0.000 0.000 x4
I: 0.000 0.000 0.500 x4

The total DFT energy (no corrections) comes out at -2.682 eV per atom. Its offset from the most stable computed form is 0.00 kJ/mol of atoms. For the density of states at the Fermi level, the calculation gives 2.8 states/eV/cell.